[1]
A plane-wave DFT calculation with PBE was carried out for a relaxed structure of Pm5Mg4Zr.

a = 3.689 Å, b = 3.689 Å, c = 21.181 Å
α = 90.00°, β = 90.00°, γ = 90.00°
Fractional coordinates of all 10 atoms:
Pm 0.000 0.000 0.000
Pm 0.000 0.000 0.192
Pm 0.000 0.000 0.397
Pm 0.000 0.000 0.603
Pm 0.000 0.000 0.808
Mg 0.500 0.500 0.096
Mg 0.500 0.500 0.293
Mg 0.500 0.500 0.707
Mg 0.500 0.500 0.904
Zr 0.500 0.500 0.500

Results
Formation energy from the elements in kJ per mole of atoms: -2.5
DFT total energy in eV/atom: -3.8942
Crystal system: tetragonal
Space-group type: P4/mmm, No. 123

***

[2]
A plane-wave DFT calculation with PBE was carried out for a relaxed structure of Ag2ICl.

a = 4.475 Å, b = 4.475 Å, c = 23.383 Å
α = 90.00°, β = 90.00°, γ = 120.00°
Fractional coordinates of all 12 atoms:
Ag 0.000 0.000 0.104
Ag 0.000 0.000 0.896
Ag 0.333 0.667 0.563
Ag 0.333 0.667 0.770
Ag 0.667 0.333 0.230
Ag 0.667 0.333 0.437
I 0.000 0.000 0.500
I 0.333 0.667 0.167
I 0.667 0.333 0.833
Cl 0.000 0.000 0.000
Cl 0.333 0.667 0.667
Cl 0.667 0.333 0.333

Results
DFT total energy in eV/atom: -2.4814
Crystal system: trigonal
Space-group type: R-3m, No. 166